1.
# Be4CdIr SCAN single point on PBEsol structure
# spin magnetization = 0.000 μB/atom
# E = -20.08 eV per atom
data_Be4CdIr
_symmetry_space_group_name_H-M 'F -4 3 m'
_symmetry_Int_Tables_number 216
_symmetry_space_group_name_Hall 'F -4 2 3'
_cell_length_a 6.3017
_cell_length_b 6.3017
_cell_length_c 6.3017
_cell_angle_alpha 90.00
_cell_angle_beta 90.00
_cell_angle_gamma 90.00
loop_
_atom_site_label
_atom_site_fract_x
_atom_site_fract_y
_atom_site_fract_z
Be1 0.1238 0.1238 0.1238
Cd1 0.0000 0.0000 0.5000
Ir1 0.2500 0.2500 0.7500

2.
# KBeCd2 SCAN single point on PBEsol structure
# spin magnetization = 0.000 μB/atom
# E = -18.24 eV per atom
data_KBeCd2
_symmetry_space_group_name_H-M 'C 1 m 1'
_symmetry_Int_Tables_number 8
_symmetry_space_group_name_Hall 'C -2y'
_cell_length_a 7.7969
_cell_length_b 4.5453
_cell_length_c 6.6697
_cell_angle_alpha 90.00
_cell_angle_beta 113.13
_cell_angle_gamma 90.00
loop_
_atom_site_label
_atom_site_fract_x
_atom_site_fract_y
_atom_site_fract_z
K1 0.0000 0.0000 0.0000
Be1 0.1762 0.0000 0.5323
Cd1 0.0177 0.5000 0.5579
Cd2 0.3132 0.5000 0.4417